# 1
## CrNiSe2N (GGA-PBEsol)

Data for a relaxed CrNiSe2N crystal.

Computed properties:
**N(E_F)**: 3.89 states/eV per cell
**Raw formation energy**: 1.982 eV per formula unit
**ΔE to the lowest computed polymorph**: 0 meV/atom

Cell lengths 4.761, 4.761, 3.421 Å; angles 90.00, 90.00, 90.00 degrees
Space group P4/mmm (No. 123)
Inequivalent atoms, fractional coordinates:
Cr  0.000  0.000  0.000
Ni  0.500  0.500  0.500
Se  0.000  0.500  0.000
N  0.000  0.000  0.500

---

# 2
## CrPN2O (GGA-PBEsol)

Data for a relaxed CrPN2O crystal.

Computed properties:
**N(E_F)**: 2.88 states/eV per cell
**Raw formation energy**: 2.140 eV per formula unit

Cell lengths 3.798, 3.798, 3.451 Å; angles 90.00, 90.00, 90.00 degrees
Space group P4/mmm (No. 123)
Inequivalent atoms, fractional coordinates:
Cr  0.000  0.000  0.000
P  0.500  0.500  0.500
N  0.000  0.500  0.000
O  0.000  0.000  0.500

---

# 3
## CrPbN2O (GGA-PBEsol)

Data for a relaxed CrPbN2O crystal.

Computed properties:
**N(E_F)**: 1.75 states/eV per cell
**Raw formation energy**: -1.037 eV per formula unit

Cell lengths 3.739, 3.739, 3.965 Å; angles 90.00, 90.00, 90.00 degrees
Space group P4/mmm (No. 123)
Inequivalent atoms, fractional coordinates:
Cr  0.000  0.000  0.000
Pb  0.500  0.500  0.500
N  0.000  0.500  0.000
O  0.000  0.000  0.500

---

# 4
## RbCrN2O (GGA-PBEsol)

Data for a relaxed RbCrN2O crystal.

Computed properties:
**N(E_F)**: 2.63 states/eV per cell
**Raw formation energy**: -0.626 eV per formula unit

Cell lengths 3.786, 3.786, 3.969 Å; angles 90.00, 90.00, 90.00 degrees
Space group P4/mmm (No. 123)
Inequivalent atoms, fractional coordinates:
Rb  0.000  0.000  0.000
Cr  0.500  0.500  0.500
N  0.000  0.500  0.500
O  0.500  0.500  0.000

---

# 5
## RbCrN2O (GGA-PBEsol)

Data for a relaxed RbCrN2O crystal.

Computed properties:
**N(E_F)**: 3.02 states/eV per cell
**Raw formation energy**: 12.809 eV per formula unit

Cell lengths 4.391, 4.391, 4.267 Å; angles 90.00, 90.00, 90.00 degrees
Space group P4/mmm (No. 123)
Inequivalent atoms, fractional coordinates:
Rb  0.000  0.000  0.000
Cr  0.500  0.500  0.500
N  0.000  0.500  0.000
O  0.000  0.000  0.500

---

# 6
## CrReN2O (GGA-PBEsol)

Data for a relaxed CrReN2O crystal.

Computed properties:
**N(E_F)**: 2.61 states/eV per cell
**Raw formation energy**: 0.400 eV per formula unit

Cell lengths 3.891, 3.891, 3.770 Å; angles 90.00, 90.00, 90.00 degrees
Space group P4/mmm (No. 123)
Inequivalent atoms, fractional coordinates:
Cr  0.000  0.000  0.000
Re  0.500  0.500  0.500
N  0.000  0.500  0.500
O  0.500  0.500  0.000